This record from Alexandria describes an optimized crystal structure of PuH2Cl6. The functional is PBE-GGA.

## Properties
The magnetization is 4.00 μB/f.u. The value obtained for the density of states at the Fermi level is 7.83 states/eV/cell. The distance to the lowest polymorph of the same formula is 2.087 eV/f.u.

a b c (Å): 7.7155 7.7155 7.7155
angles (deg): 46.31 46.31 46.31
Positions (direct):
1 Pu 0.0000 0.0000 0.0000
2 H 0.5936 0.5936 0.5936
3 H 0.7397 0.7397 0.7397
4 Cl 0.0390 0.7519 0.4389
5 Cl 0.2856 0.5986 0.8858
6 Cl 0.4389 0.0390 0.7519
7 Cl 0.5986 0.8858 0.2856
8 Cl 0.7519 0.4389 0.0390
9 Cl 0.8858 0.2856 0.5986



This record from Alexandria describes an optimized crystal structure of PuB2F8. The functional is PBE-GGA.

## Properties
The magnetization is 6.00 μB/f.u. For the raw total energy, the calculation gives -74.772 eV/cell. The value obtained for the density of states at the Fermi level is 11.86 states/eV/cell.

a b c (Å): 5.5263 5.5263 6.2457
angles (deg): 111.29 111.29 54.75
Positions (direct):
1 Pu 0.0000 0.0000 0.0000
2 B 0.2050 0.2050 0.6936
3 B 0.7950 0.7950 0.3064
4 F 0.0760 0.6274 0.2357
5 F 0.1618 0.1618 0.4489
6 F 0.3644 0.3644 0.8109
7 F 0.3726 0.9240 0.7643
8 F 0.6274 0.0760 0.2357
9 F 0.6356 0.6356 0.1891
10 F 0.8382 0.8382 0.5511
11 F 0.9240 0.3726 0.7643



This record from Alexandria describes an optimized crystal structure of NaTaBeCr2. The functional is PBE-GGA.

## Properties
The magnetization is 0.00 μB/f.u. For the raw total energy, the calculation gives -22.565 eV/cell. The value obtained for the density of states at the Fermi level is 6.43 states/eV/cell.

a b c (Å): 4.2282 4.2282 4.6511
angles (deg): 90.00 90.00 90.00
Positions (direct):
1 Na 0.0000 0.0000 0.0000
2 Ta 0.0000 0.0000 0.5000
3 Be 0.5000 0.5000 0.5000
4 Cr 0.0000 0.5000 0.0000
5 Cr 0.5000 0.0000 0.0000